Record 1
First-principles (GGA-PBE) data for a relaxed structure of Mg14CdC, as listed in Alexandria via LeMat-Bulk.

Properties
Formation enthalpy at 0 K = 222 kJ/mol of formula units
ρ = 2.25 Mg/m³
Space-group type = Amm2 (38)
Electronic total energy = -30.2 eV/cell
Magnetic moment = 0.0 μB/cell

a = 8.6984 Å, b = 6.3681 Å, c = 6.3681 Å
α = 76.15°, β = 90.00°, γ = 90.00°
Closest atoms and distances in Å follow each position.
Atoms (fractional coordinates):
Mg 0.0000 0.0000 0.0000  8 Mg 3.10-3.24
Mg 0.0000 0.4692 0.4692  10 Mg 3.04-3.31
Mg 0.0000 0.5198 0.9397  9 Mg 3.02-3.31
Mg 0.0000 0.9397 0.5198  9 Mg 3.02-3.31
Mg 0.2275 0.2384 0.2384  10 Mg 3.01-3.34, 1 Cd 3.14
Mg 0.2830 0.8003 0.8003  1 C 2.38
Mg 0.3119 0.3437 0.7141  1 C 2.53
Mg 0.3119 0.7141 0.3437  1 C 2.53
Mg 0.5000 0.0365 0.5008  1 C 2.39
Mg 0.5000 0.5008 0.0365  1 C 2.39
Mg 0.6881 0.3437 0.7141  1 C 2.53
Mg 0.6881 0.7141 0.3437  1 C 2.53
Mg 0.7170 0.8003 0.8003  1 C 2.38
Mg 0.7725 0.2384 0.2384  10 Mg 3.01-3.34, 1 Cd 3.14
Cd 0.5000 0.0328 0.0328  10 Mg 2.97-3.14
C 0.5000 0.6550 0.6550  8 Mg 2.38-2.53


Record 2
First-principles (GGA-PBE) data for a relaxed structure of ZrB3Se, as listed in Alexandria via LeMat-Bulk.

Properties
ρ = 3.55 Mg/m³
Energy relative to the elements, uncorrected = 1981 meV per atom
Space-group type = Pm-3m (221)
Electronic total energy = -22.2 eV/cell
Magnetic moment = 0.0 μB/cell

a = 4.5611 Å, b = 4.5611 Å, c = 4.5611 Å
α = 90.00°, β = 90.00°, γ = 90.00°
Closest atoms and distances in Å follow each position.
Atoms (fractional coordinates):
Zr 0.0000 0.0000 0.0000  6 B 2.28
B 0.0000 0.0000 0.5000  2 Zr 2.28
B 0.0000 0.5000 0.0000  2 Zr 2.28
B 0.5000 0.0000 0.0000  2 Zr 2.28
Se 0.5000 0.5000 0.5000  12 B 3.23


Record 3
First-principles (GGA-PBE) data for a relaxed structure of Tm2NpS6, as listed in Alexandria via LeMat-Bulk.

Properties
ρ = 5.49 Mg/m³
Energy relative to the elements, uncorrected = -1435 meV per atom
Space-group type = P4_2/mnm (136)
Electronic total energy = -119.1 eV/cell
Magnetic moment = 2.0 μB/cell

a = 6.2554 Å, b = 6.2554 Å, c = 11.8606 Å
α = 90.00°, β = 90.00°, γ = 90.00°
Closest atoms and distances in Å follow each position.
Atoms (fractional coordinates):
Tm 0.0000 0.0000 0.1645  6 S 2.68-2.72
Tm 0.0000 0.0000 0.8355  6 S 2.68-2.72
Tm 0.5000 0.5000 0.3355  6 S 2.68-2.72
Tm 0.5000 0.5000 0.6645  6 S 2.68-2.72
Np 0.0000 0.0000 0.5000  6 S 2.55-2.59
Np 0.5000 0.5000 0.0000  6 S 2.55-2.59
S 0.1925 0.1925 0.3405  1 Np 2.55, 2 Tm 2.69-2.72
S 0.1925 0.1925 0.6595  1 Np 2.55, 2 Tm 2.69-2.72
S 0.2072 0.2072 0.0000  1 Np 2.59, 2 Tm 2.68
S 0.2928 0.7072 0.5000  1 Np 2.59, 2 Tm 2.68
S 0.3075 0.6925 0.1595  1 Np 2.55, 2 Tm 2.69-2.72
S 0.3075 0.6925 0.8405  1 Np 2.55, 2 Tm 2.69-2.72
S 0.6925 0.3075 0.1595  1 Np 2.55, 2 Tm 2.69-2.72
S 0.6925 0.3075 0.8405  1 Np 2.55, 2 Tm 2.69-2.72
S 0.7072 0.2928 0.5000  1 Np 2.59, 2 Tm 2.68
S 0.7928 0.7928 0.0000  1 Np 2.59, 2 Tm 2.68
S 0.8075 0.8075 0.3405  1 Np 2.55, 2 Tm 2.69-2.72
S 0.8075 0.8075 0.6595  1 Np 2.55, 2 Tm 2.69-2.72


Record 4
First-principles (GGA-PBE) data for a relaxed structure of Tb6Y2Zr, as listed in Alexandria via LeMat-Bulk.

Properties
Formation enthalpy at 0 K = 69 kJ/mol of formula units
ρ = 7.18 Mg/m³
Space-group type = P-6m2 (187)
Electronic total energy = -48.5 eV/cell
Magnetic moment = 0.4 μB/cell

a = 3.5459 Å, b = 3.5459 Å, c = 25.9677 Å
α = 90.00°, β = 90.00°, γ = 120.00°
Closest atoms and distances in Å follow each position.
Atoms (fractional coordinates):
Tb 0.0000 0.0000 0.0666  7 Tb 3.46-3.55, 3 Y 3.49
Tb 0.0000 0.0000 0.2868  3 Y 3.54, 9 Tb 3.55-3.58
Tb 0.0000 0.0000 0.7132  3 Y 3.54, 9 Tb 3.55-3.58
Tb 0.0000 0.0000 0.9334  7 Tb 3.46-3.55, 3 Y 3.49
Tb 0.3333 0.6667 0.3999  3 Zr 3.31, 9 Tb 3.55-3.58
Tb 0.3333 0.6667 0.6001  3 Zr 3.31, 9 Tb 3.55-3.58
Y 0.3333 0.6667 0.1754  6 Tb 3.49-3.54, 6 Y 3.55
Y 0.3333 0.6667 0.8246  6 Tb 3.49-3.54, 6 Y 3.55
Zr 0.0000 0.0000 0.5000  6 Tb 3.31, 6 Zr 3.55


Record 5
First-principles (GGA-PBE) data for a relaxed structure of Ba2MgC, as listed in Alexandria via LeMat-Bulk.

Properties
Formation enthalpy at 0 K = 354 kJ/mol of formula units
ρ = 4.28 Mg/m³
Space-group type = Fm-3m (225)
Electronic total energy = -44.0 eV/cell
Magnetic moment = 0.0 μB/cell

a = 7.8417 Å, b = 7.8417 Å, c = 7.8417 Å
α = 90.00°, β = 90.00°, γ = 90.00°
Closest atoms and distances in Å follow each position.
Atoms (fractional coordinates):
Ba 0.2500 0.2500 0.2500  4 Mg 3.40, 4 C 3.40
Ba 0.2500 0.2500 0.7500  4 Mg 3.40, 4 C 3.40
Ba 0.2500 0.7500 0.2500  4 Mg 3.40, 4 C 3.40
Ba 0.2500 0.7500 0.7500  4 Mg 3.40, 4 C 3.40
Ba 0.7500 0.2500 0.2500  4 Mg 3.40, 4 C 3.40
Ba 0.7500 0.2500 0.7500  4 Mg 3.40, 4 C 3.40
Ba 0.7500 0.7500 0.2500  4 Mg 3.40, 4 C 3.40
Ba 0.7500 0.7500 0.7500  4 Mg 3.40, 4 C 3.40
Mg 0.0000 0.0000 0.0000  8 Ba 3.40
Mg 0.0000 0.5000 0.5000  8 Ba 3.40
Mg 0.5000 0.0000 0.5000  8 Ba 3.40
Mg 0.5000 0.5000 0.0000  8 Ba 3.40
C 0.0000 0.0000 0.5000  8 Ba 3.40
C 0.0000 0.5000 0.0000  8 Ba 3.40
C 0.5000 0.0000 0.0000  8 Ba 3.40
C 0.5000 0.5000 0.5000  8 Ba 3.40


Record 6
First-principles (GGA-PBE) data for a relaxed structure of Li3Np3NiSe8, as listed in Alexandria via LeMat-Bulk.

Properties
ρ = 6.66 Mg/m³
Energy relative to the elements, uncorrected = -980 meV per atom
Space-group type = R-3m (166)
Electronic total energy = -92.9 eV/cell
Magnetic moment = 11.6 μB/cell

a = 7.9478 Å, b = 7.9478 Å, c = 7.9478 Å
α = 59.97°, β = 59.97°, γ = 59.97°
Closest atoms and distances in Å follow each position.
Atoms (fractional coordinates):
Li 0.0000 0.5000 0.5000  6 Se 2.77-2.80
Li 0.5000 0.0000 0.5000  6 Se 2.77-2.80
Li 0.5000 0.5000 0.0000  6 Se 2.77-2.80
Np 0.0000 0.0000 0.5000  6 Se 2.84-2.85
Np 0.0000 0.5000 0.0000  6 Se 2.84-2.85
Np 0.5000 0.0000 0.0000  6 Se 2.84-2.85
Ni 0.5000 0.5000 0.5000  6 Se 2.61
Se 0.2537 0.2537 0.2537  3 Li 2.77, 3 Np 2.85
Se 0.2674 0.2674 0.7290  1 Ni 2.61, 2 Li 2.80, 2 Np 2.84
Se 0.2674 0.7290 0.2674  1 Ni 2.61, 2 Li 2.80, 2 Np 2.84
Se 0.2710 0.7326 0.7326  1 Ni 2.61, 2 Li 2.80, 2 Np 2.84
Se 0.7290 0.2674 0.2674  1 Ni 2.61, 2 Li 2.80, 2 Np 2.84
Se 0.7326 0.2710 0.7326  1 Ni 2.61, 2 Li 2.80, 2 Np 2.84
Se 0.7326 0.7326 0.2710  1 Ni 2.61, 2 Li 2.80, 2 Np 2.84
Se 0.7463 0.7463 0.7463  3 Li 2.77, 3 Np 2.85


Record 7
First-principles (GGA-PBE) data for a relaxed structure of MgGa2Cu3, as listed in Alexandria via LeMat-Bulk.

Properties
Formation enthalpy at 0 K = -77 kJ/mol of formula units
ρ = 6.71 Mg/m³
Space-group type = P6_3/mmc (194)
Electronic total energy = -41.5 eV/cell
Magnetic moment = 0.0 μB/cell

a = 4.2292 Å, b = 4.2292 Å, c = 11.3256 Å
α = 90.00°, β = 90.00°, γ = 120.00°
Closest atoms and distances in Å follow each position.
Atoms (fractional coordinates):
Mg 0.0000 0.0000 0.2500  8 Cu 2.78-2.83, 6 Ga 2.98
Mg 0.0000 0.0000 0.7500  8 Cu 2.78-2.83, 6 Ga 2.98
Ga 0.3333 0.6667 0.0990  7 Cu 2.47-2.69
Ga 0.3333 0.6667 0.4010  7 Cu 2.47-2.69
Ga 0.6667 0.3333 0.5990  7 Cu 2.47-2.69
Ga 0.6667 0.3333 0.9010  7 Cu 2.47-2.69
Cu 0.0000 0.0000 0.0000  6 Ga 2.69, 2 Mg 2.83, 6 Cu 2.87
Cu 0.0000 0.0000 0.5000  6 Ga 2.69, 2 Mg 2.83, 6 Cu 2.87
Cu 0.3333 0.6667 0.6332  4 Ga 2.47-2.63, 1 Cu 2.64
Cu 0.3333 0.6667 0.8668  4 Ga 2.47-2.63, 1 Cu 2.64
Cu 0.6667 0.3333 0.1332  4 Ga 2.47-2.63, 1 Cu 2.64
Cu 0.6667 0.3333 0.3668  4 Ga 2.47-2.63, 1 Cu 2.64


Record 8
First-principles (GGA-PBE) data for a relaxed structure of LuSeF, as listed in Alexandria via LeMat-Bulk.

Properties
ρ = 8.51 Mg/m³
Energy relative to the elements, uncorrected = -2197 meV per atom
Space-group type = I4mm (107)
Electronic total energy = -32.9 eV/cell
Magnetic moment = 0.0 μB/cell

a = 3.4471 Å, b = 3.4471 Å, c = 8.9652 Å
α = 90.00°, β = 90.00°, γ = 90.00°
Closest atoms and distances in Å follow each position.
Atoms (fractional coordinates):
Lu 0.0000 0.0000 0.0000  4 F 2.66, 5 Se 2.88-2.94
Lu 0.5000 0.5000 0.5000  4 F 2.66, 5 Se 2.88-2.94
Se 0.0000 0.0000 0.3285  1 F 2.60, 4 Lu 2.88
Se 0.5000 0.5000 0.8285  1 F 2.60, 4 Lu 2.88
F 0.0000 0.0000 0.6189  1 Se 2.60, 4 Lu 2.66
F 0.5000 0.5000 0.1189  1 Se 2.60, 4 Lu 2.66